# PBE SiP2Se, relaxed
data_SiP2Se
_cell_length_a 3.795
_cell_length_b 3.810
_cell_length_c 5.207
_cell_angle_alpha 90.00
_cell_angle_beta 90.00
_cell_angle_gamma 90.00
_space_group_name_H-M_alt 'P m m m'
_space_group_IT_number 47
loop_
_space_group_symop_operation_xyz
'x,y,z'
'-x,-y,-z'
'-x,-y,z'
'x,y,-z'
'x,-y,-z'
'-x,y,z'
'-x,y,-z'
'x,-y,z'
loop_
_atom_site_label
_atom_site_fract_x
_atom_site_fract_y
_atom_site_fract_z
_atom_site_occupancy
Si1 0.000 0.000 0.000 1
P1 0.500 0.500 0.199 1
Se1 0.000 0.000 0.500 1
# Distance to the lowest polymorph of the same formula (eV/f.u.): 2.549
# Energy relative to the elements, uncorrected (eV/atom): 0.5846
# DOS at the Fermi energy (states/eV/f.u.): 1.62
# Theoretical density (g/cm³): 3.7
# E_tot (eV per atom): -4.3472

***

# PBE FeNi2Pd, relaxed
data_FeNi2Pd
_cell_length_a 5.848
_cell_length_b 5.848
_cell_length_c 5.848
_cell_angle_alpha 90.00
_cell_angle_beta 90.00
_cell_angle_gamma 90.00
_space_group_name_H-M_alt 'F m -3 m'
_space_group_IT_number 225
_space_group_name_Hall '-F 4 2 3'
loop_
_atom_site_label
_atom_site_fract_x
_atom_site_fract_y
_atom_site_fract_z
_atom_site_occupancy
Fe1 0.000 0.000 0.000 1
Ni1 0.250 0.250 0.250 1
Pd1 0.000 0.000 0.500 1
# DOS at the Fermi energy (states/eV/f.u.): 2.22
# Theoretical density (g/cm³): 9.3
# E_tot (eV per atom): -6.2698